DFT (GGA-PBE) results for a relaxed structure of Tm6NiBi2.

extended XYZ file:
```
18
Lattice="6.396 0.000 0.000 0.000 7.786 0.000 -6.088 0.000 10.107" Properties=species:S:1:pos:R:3 pbc="T T T"
Tm -2.168 1.497 4.694
Tm -5.212 2.396 9.747
Tm -0.702 5.302 4.668
Tm -3.746 6.377 9.722
Tm 0.909 0.157 2.540
Tm -2.135 3.736 7.593
Tm 2.443 4.050 2.514
Tm -0.601 7.629 7.568
Tm 4.054 1.409 0.385
Tm 1.010 2.484 5.439
Tm 5.521 5.390 0.360
Tm 2.477 6.289 5.413
Ni 0.154 0.000 5.054
Ni 3.198 3.893 0.000
Bi -3.623 0.884 7.535
Bi -0.579 3.009 2.481
Bi 0.887 4.777 7.626
Bi 3.931 6.902 2.572
```

Energy of formation from the pure elements, meV/atom: -397
Crystal system: monoclinic
V, A^3/atom: 27.96
VASP energy, eV/cell: -87.9